{"formula": "Li2NiGe3O8", "functional": "GGA+U", "state": "relaxed", "lattice": [[8.304, 0.000, 0.000], [0.000, 8.304, 0.000], [0.000, 0.000, 8.304]], "species": ["Li", "Li", "Li", "Li", "Li", "Li", "Li", "Li", "Ni", "Ni", "Ni", "Ni", "Ge", "Ge", "Ge", "Ge", "Ge", "Ge", "Ge", "Ge", "Ge", "Ge", "Ge", "Ge", "O", "O", "O", "O", "O", "O", "O", "O", "O", "O", "O", "O", "O", "O", "O", "O", "O", "O", "O", "O", "O", "O", "O", "O", "O", "O", "O", "O", "O", "O", "O", "O"], "frac_coords": [[0.003, 0.003, 0.003], [0.247, 0.247, 0.247], [0.253, 0.753, 0.747], [0.497, 0.997, 0.503], [0.503, 0.497, 0.997], [0.747, 0.253, 0.753], [0.753, 0.747, 0.253], [0.997, 0.503, 0.497], [0.125, 0.875, 0.375], [0.375, 0.125, 0.875], [0.625, 0.625, 0.625], [0.875, 0.375, 0.125], [0.123, 0.127, 0.625], [0.125, 0.377, 0.873], [0.127, 0.625, 0.123], [0.373, 0.375, 0.623], [0.375, 0.623, 0.373], [0.377, 0.873, 0.125], [0.623, 0.373, 0.375], [0.625, 0.123, 0.127], [0.627, 0.875, 0.877], [0.873, 0.125, 0.377], [0.875, 0.877, 0.627], [0.877, 0.627, 0.875], [0.100, 0.126, 0.393], [0.107, 0.900, 0.626], [0.116, 0.616, 0.884], [0.124, 0.150, 0.857], [0.126, 0.393, 0.100], [0.134, 0.366, 0.634], [0.143, 0.624, 0.350], [0.150, 0.857, 0.124], [0.350, 0.143, 0.624], [0.357, 0.376, 0.850], [0.366, 0.634, 0.134], [0.374, 0.607, 0.600], [0.376, 0.850, 0.357], [0.384, 0.384, 0.384], [0.393, 0.100, 0.126], [0.400, 0.874, 0.893], [0.600, 0.374, 0.607], [0.607, 0.600, 0.374], [0.616, 0.884, 0.116], [0.624, 0.350, 0.143], [0.626, 0.107, 0.900], [0.634, 0.134, 0.366], [0.643, 0.876, 0.650], [0.650, 0.643, 0.876], [0.850, 0.357, 0.376], [0.857, 0.124, 0.150], [0.866, 0.866, 0.866], [0.874, 0.893, 0.400], [0.876, 0.650, 0.643], [0.884, 0.116, 0.616], [0.893, 0.400, 0.874], [0.900, 0.626, 0.107]], "magmom_total_mub_per_fu": 2.00, "energy_ev_per_atom": -6.03}